(1)
Here is crystalline RePPdO at its relaxed geometry from the Open Quantum Materials Database. Energies are from PBE.

- V: 12.71 Å³ per atom
- Calculated density: 11.1 g/cm³
- Polymorph energy (0 for the lowest one): 255.7 meV/atom

extended XYZ file:
```
8
Lattice="4.3206 0.0000 0.0000 0.0000 4.3206 0.0000 0.0000 0.0000 5.4451" Properties=species:S:1:pos:R:3 pbc="T T T"
Re 1.0802 3.2405 0.0000
Re 3.2405 1.0802 0.0000
P 1.0802 1.0802 0.9890
P 3.2405 3.2405 4.4561
Pd 1.0802 1.0802 3.3611
Pd 3.2405 3.2405 2.0839
O 1.0802 3.2405 2.7225
O 3.2405 1.0802 2.7225
```

***

(2)
Here is crystalline RePPdO at its relaxed geometry from the Open Quantum Materials Database. Energies are from PBE.

- V: 12.28 Å³ per atom
- Calculated density: 11.5 g/cm³
- Polymorph energy (0 for the lowest one): 274.0 meV/atom

extended XYZ file:
```
8
Lattice="3.6596 0.0000 0.0000 0.0000 3.6596 0.0000 0.0000 0.0000 7.3343" Properties=species:S:1:pos:R:3 pbc="T T T"
Re 0.9149 0.9149 1.2532
Re 2.7447 2.7447 6.0811
P 0.9149 0.9149 5.3205
P 2.7447 2.7447 2.0138
Pd 0.9149 2.7447 3.6672
Pd 2.7447 0.9149 3.6672
O 0.9149 2.7447 0.0000
O 2.7447 0.9149 0.0000
```